(1)
Entry from Alexandria: Sr2ScPt after structural relaxation (GGA-PBE).

It has space group F-43m (No. 216), with a = 7.5198 Å, b = 7.5198 Å, c = 7.5198 Å, α = 90.00°, β = 90.00° and γ = 90.00°. Symmetry generates all atoms from Sr at (0.0000, 0.0000, 0.0000), Sr at (0.2500, 0.2500, 0.2500), Sc at (0.0000, 0.0000, 0.5000) and Pt at (0.2500, 0.2500, 0.7500).

The calculation puts the density of states at the Fermi level at 18.7 states/eV/cell. Its total energy is -3.96 eV/atom. The calculation puts the calculated formation energy at -25 meV/atom. Its calculated density is 6.49 g/cm³.

(2)
Entry from Alexandria: SiSbOs2 after structural relaxation (GGA-PBE).

It has space group C2/m (No. 12), with a = 8.2010 Å, b = 2.9681 Å, c = 5.3407 Å, α = 90.00°, β = 102.78° and γ = 90.00°. Symmetry generates all atoms from Si at (0.0000, 0.0000, 0.0000), Sb at (0.0000, 0.5000, 0.5000) and Os at (0.2391, 0.5000, 0.2149).

The calculation puts the density of states at the Fermi level at 4.6 states/eV/cell. Its total energy is -7.73 eV/atom. For the raw formation energy, the calculation gives 104 kJ/mol of formula units. Its calculated density is 13.89 g/cm³.

(3)
Entry from Alexandria: RbScSn after structural relaxation (GGA-PBE).

It has space group P-1 (No. 2), with a = 4.5391 Å, b = 5.3426 Å, c = 12.0851 Å, α = 81.58°, β = 88.70° and γ = 64.89°. Symmetry generates all atoms from Rb at (0.1903, 0.1577, 0.1827), Sc at (0.1458, 0.2038, 0.5392) and Sn at (0.4634, 0.5591, 0.6178).

The calculation puts the density of states at the Fermi level at 4.7 states/eV/cell. Its total energy is -3.98 eV/atom. The calculation puts the calculated formation energy at -215 meV/atom. Its calculated density is 3.16 g/cm³.